This record from Alexandria describes a geometry-optimized Tb3ScO structure. The functional is GGA-PBE.

a b c (Å): 4.877 4.877 4.877
angles (deg): 90.00 90.00 90.00
Atoms (fractional coordinates):
Tb 0.000 0.000 0.500
Tb 0.000 0.500 0.000
Sc 0.500 0.500 0.500
Tb 0.500 0.000 0.000
O 0.000 0.000 0.000

Energy relative to the elements, uncorrected in eV per atom: -1.14
Symmetry: Pm-3m, No. 221
Size of the total moment in Bohr magnetons per cell: 0.0